1.
Here is crystalline BeNbNO at its relaxed geometry from OQMD via LeMat-Bulk. Energies are from PBE-GGA.

- Total magnetization: 0.00 μB per formula unit
- Distance to the lowest polymorph of the same formula: 0.0000 eV per atom
- Raw total energy: -65.8 eV per cell
- Space-group type: Pmc2_1 (26)

Cell: 3.0148 5.8940 4.3750 Å, 90.00 90.00 90.00°
Closest atoms and distances in Å follow each position.
Fractional coordinates of all 8 atoms:
1 Be 0.0000 0.1501 0.0000  2 O 1.59-1.65, 2 N 1.76
2 Be 0.0000 0.8499 0.5000  2 O 1.59-1.65, 2 N 1.76
3 Nb 0.5000 0.3506 0.4418  3 N 2.09-2.26, 2 O 2.12
4 Nb 0.5000 0.6494 0.9418  3 N 2.09-2.26, 2 O 2.12
5 N 0.5000 0.2956 0.9314  2 Be 1.76
6 N 0.5000 0.7044 0.4314  2 Be 1.76
7 O 0.0000 0.1029 0.3720  2 Be 1.59-1.65
8 O 0.0000 0.8971 0.8720  2 Be 1.59-1.65

2.
Here is crystalline BeNbNO at its relaxed geometry from OQMD via LeMat-Bulk. Energies are from PBE-GGA.

- Total magnetization: 0.00 μB per formula unit
- Distance to the lowest polymorph of the same formula: 0.1495 eV per atom
- Raw total energy: -64.7 eV per cell
- Space-group type: Pmc2_1 (26)

Cell: 3.0630 5.8043 4.4722 Å, 90.00 90.00 90.00°
Closest atoms and distances in Å follow each position.
Fractional coordinates of all 8 atoms:
1 Be 0.0000 0.1381 0.0000  2 N 1.65-1.74, 2 O 1.74
2 Be 0.0000 0.8619 0.5000  2 N 1.65-1.74, 2 O 1.74
3 Nb 0.5000 0.3514 0.4280  2 N 1.99, 1 O 2.22
4 Nb 0.5000 0.6486 0.9280  2 N 1.99, 1 O 2.22
5 N 0.0000 0.1335 0.3894  2 Be 1.65-1.74
6 N 0.0000 0.8665 0.8894  2 Be 1.65-1.74
7 O 0.5000 0.2664 0.9229  2 Be 1.74
8 O 0.5000 0.7336 0.4229  2 Be 1.74

3.
Here is crystalline BeNbNO at its relaxed geometry from OQMD via LeMat-Bulk. Energies are from PBE-GGA.

- Total magnetization: 0.00 μB per formula unit
- Distance to the lowest polymorph of the same formula: 0.3282 eV per atom
- Raw total energy: -63.2 eV per cell
- Space-group type: P4/nmm (129)

Cell: 3.9575 3.9575 4.9744 Å, 90.00 90.00 90.00°
Closest atoms and distances in Å follow each position.
Fractional coordinates of all 8 atoms:
1 Be 0.2500 0.2500 0.0280  1 N 1.64
2 Be 0.7500 0.7500 0.9720  1 N 1.64
3 Nb 0.2500 0.7500 0.5000  4 N 2.10
4 Nb 0.7500 0.2500 0.5000  4 N 2.10
5 N 0.2500 0.2500 0.3582  1 Be 1.64
6 N 0.7500 0.7500 0.6418  1 Be 1.64
7 O 0.2500 0.7500 0.0000  4 Be 1.98
8 O 0.7500 0.2500 0.0000  4 Be 1.98